# VTcI2Br | Alexandria via LeMat-Bulk | GGA-PBE | optimized geometry
data_VTcI2Br
_chemical_formula_sum 'V1 Tc1 I2 Br1'
_cell_length_a 5.426
_cell_length_b 5.426
_cell_length_c 4.697
_cell_angle_alpha 90.00
_cell_angle_beta 90.00
_cell_angle_gamma 90.00
_symmetry_space_group_name_H-M 'P 4/m m m'
_symmetry_Int_Tables_number 123
_symmetry_space_group_name_Hall '-P 4 2'
loop_
_atom_site_label
_atom_site_type_symbol
_atom_site_fract_x
_atom_site_fract_y
_atom_site_fract_z
_atom_site_occupancy
V1 V 0.000 0.000 0.000 1
Tc1 Tc 0.000 0.000 0.500 1
I1 I 0.000 0.500 0.500 1
Br1 Br 0.500 0.500 0.000 1
# **Energy relative to the elements, uncorrected**: 0.7522 eV per atom
# **Uncorrected energy**: -0.3013 Ry/atom
# **D(E_F)**: 6.7 states/eV per cell
# **Magnetization**: 0.020 μB per formula unit


# TcWI2Br | Alexandria via LeMat-Bulk | GGA-PBE | optimized geometry
data_TcWI2Br
_chemical_formula_sum 'Tc1 W1 I2 Br1'
_cell_length_a 5.423
_cell_length_b 5.423
_cell_length_c 4.769
_cell_angle_alpha 90.00
_cell_angle_beta 90.00
_cell_angle_gamma 90.00
_symmetry_space_group_name_H-M 'P 4/m m m'
_symmetry_Int_Tables_number 123
_symmetry_space_group_name_Hall '-P 4 2'
loop_
_atom_site_label
_atom_site_type_symbol
_atom_site_fract_x
_atom_site_fract_y
_atom_site_fract_z
_atom_site_occupancy
Tc1 Tc 0.000 0.000 0.000 1
W1 W 0.500 0.500 0.500 1
I1 I 0.000 0.500 0.000 1
Br1 Br 0.000 0.000 0.500 1
# **Energy relative to the elements, uncorrected**: 1.7927 eV per atom
# **Uncorrected energy**: -0.2812 Ry/atom
# **D(E_F)**: 8.2 states/eV per cell
# **Magnetization**: 0.677 μB per formula unit


# TeIBr | Alexandria via LeMat-Bulk | GGA-PBE | optimized geometry
data_TeIBr
_chemical_formula_sum 'Te1 I1 Br1'
_cell_length_a 4.9613
_cell_length_b 4.9613
_cell_length_c 5.3601
_cell_angle_alpha 90.00
_cell_angle_beta 90.00
_cell_angle_gamma 120.00
_symmetry_space_group_name_H-M 'P 3 m 1'
_symmetry_Int_Tables_number 156
loop_
_symmetry_equiv_pos_as_xyz
'x,y,z'
'-y,x-y,z'
'-x+y,-x,z'
'-y,-x,z'
'-x+y,y,z'
'x,x-y,z'
loop_
_atom_site_label
_atom_site_type_symbol
_atom_site_fract_x
_atom_site_fract_y
_atom_site_fract_z
_atom_site_occupancy
Te1 Te 0.0000 0.0000 0.0000 1
I1 I 0.6667 0.3333 0.2251 1
Br1 Br 0.3333 0.6667 0.7453 1
# **Energy relative to the elements, uncorrected**: 0.1776 eV per atom
# **Uncorrected energy**: -0.1429 Ry/atom
# **D(E_F)**: 3.0 states/eV per cell
# **Magnetization**: 0.000 μB per formula unit


# Te2IBr | Alexandria via LeMat-Bulk | GGA-PBE | optimized geometry
data_Te2IBr
_chemical_formula_sum 'Te8 I4 Br4'
_cell_length_a 8.825
_cell_length_b 8.825
_cell_length_c 6.884
_cell_angle_alpha 90.00
_cell_angle_beta 90.00
_cell_angle_gamma 90.00
_symmetry_space_group_name_H-M 'I -4 2 d'
_symmetry_Int_Tables_number 122
_symmetry_space_group_name_Hall 'I -4 2bw'
loop_
_atom_site_label
_atom_site_type_symbol
_atom_site_fract_x
_atom_site_fract_y
_atom_site_fract_z
_atom_site_occupancy
Te1 Te 0.249 0.750 0.125 1
I1 I 0.000 0.000 0.000 1
Br1 Br 0.000 0.000 0.500 1
# **Energy relative to the elements, uncorrected**: 0.3999 eV per atom
# **Uncorrected energy**: -0.1453 Ry/atom
# **D(E_F)**: 16.4 states/eV per cell
# **Magnetization**: 0.000 μB per formula unit


Q: Which value of D(E_F) does entry 2 give?
A: 8.2 states/eV per cell